Entry 1:
# CsCdBi

An optimized crystal structure of CsCdBi (PBE-GGA, Alexandria via LeMat-Bulk).

```
CsCdBi
1.0
6.608 -2.717 0.000
6.608 2.717 0.000
-6.238 0.000 7.088
Cs Cd Bi
2 2 2
direct
0.000 0.000 0.000
0.137 0.137 0.681
0.359 0.359 0.528
0.729 0.729 0.420
0.433 0.433 0.275
0.768 0.768 0.126
```

Properties
theoretical density = 5.927 g/cm³
electronic total energy = -2.11 eV/atom

Entry 2:
# Sr4GeCl5

An optimized crystal structure of Sr4GeCl5 (PBE-GGA, Alexandria via LeMat-Bulk).

```
Sr4GeCl5
1.0
9.492 -2.117 0.000
9.492 2.117 0.000
-2.787 0.000 8.670
Sr Ge Cl
4 1 5
direct
0.002 0.002 0.257
0.327 0.327 0.876
0.673 0.673 0.124
0.998 0.998 0.743
0.500 0.500 0.000
0.167 0.167 0.336
0.170 0.170 0.884
0.500 0.500 0.500
0.830 0.830 0.116
0.833 0.833 0.664
```

Properties
theoretical density = 2.861 g/cm³
uncorrected formation energy = -1.94 eV per atom

Entry 3:
# EuZrTe2

An optimized crystal structure of EuZrTe2 (PBE-GGA, Alexandria via LeMat-Bulk).

```
EuZrTe2
1.0
2.010 1.161 10.058
-2.010 1.161 10.058
0.000 -2.321 10.058
Eu Zr Te
1 1 2
direct
0.000 0.000 0.000
0.500 0.500 0.500
0.107 0.107 0.107
0.893 0.893 0.893
```

Properties
theoretical density = 5.879 g/cm³
uncorrected formation energy = -0.76 eV per atom

Entry 4:
# Zr2TiHPd

An optimized crystal structure of Zr2TiHPd (PBE-GGA, Alexandria via LeMat-Bulk).

```
Zr2TiHPd
1.0
4.526 0.000 0.000
0.000 4.526 0.000
0.000 0.000 3.880
Zr Ti H Pd
2 1 1 1
direct
0.000 0.500 0.000
0.500 0.000 0.000
0.000 0.000 0.500
0.500 0.500 0.000
0.500 0.500 0.500
```

Properties
theoretical density = 7.055 g/cm³
electronic total energy = -6.95 eV/atom

> Number 4 is which compound?

Zr2TiHPd

> Among the records above, which one has the highest theoretical density?

Zr2TiHPd

> Number 2 is which compound?

Sr4GeCl5

> Which formula does entry 4 have?

Zr2TiHPd